A relaxed PaCu6Ge4 crystal. Source: Alexandria via LeMat-Bulk, functional PBE.

## Properties
The value obtained for the calculated density is 8.900 g cm⁻³. The space group is No. 187. As for the density of states at the Fermi level: 7.71 states/eV per cell. As for the calculated total energy: -53.45 eV for the cell shown. As for the formation energy: -83 meV/atom.

abc: 3.973 6.997 6.997
angles: 120.00 90.00 90.00
Element x y z (fractional)
1 Pa 0.000 0.000 0.000
2 Cu 0.000 0.540 0.080
3 Cu 0.500 0.582 0.791
4 Cu 0.000 0.540 0.460
5 Cu 0.000 0.920 0.460
6 Cu 0.500 0.209 0.791
7 Cu 0.500 0.209 0.418
8 Ge 0.500 0.811 0.621
9 Ge 0.500 0.379 0.189
10 Ge 0.500 0.811 0.189
11 Ge 0.000 0.333 0.667